! CePb2F8 (PBE-GGA, optimized geometry); values from VASP
&SYSTEM
  ibrav = 0, nat = 11, ntyp = 3
/
ATOMIC_SPECIES
Ce 140.12 Ce.upf
Pb 207.20 Pb.upf
F 19.00 F.upf
CELL_PARAMETERS angstrom
-1.9877 3.3189 6.0854
1.9877 -3.3189 6.0854
1.9877 3.3189 -6.0854
ATOMIC_POSITIONS angstrom
Ce 0.0000 0.0000 0.0000
Pb 0.0000 0.0000 4.1049
Pb 0.0000 0.0000 8.0658
F 1.9877 0.0000 1.3211
F 1.9877 -1.6533 4.3818
F 1.9877 2.0795 0.0000
F 0.0000 1.6655 1.7036
F 1.9877 1.6533 4.3818
F 0.0000 1.2394 6.0854
F 0.0000 4.9722 1.7036
F 0.0000 3.3189 4.7642
! Uncorrected formation energy: -2.895 eV per atom
! Energy relative to the lowest polymorph listed for this composition: 0.103 eV per atom
! Total energy: -0.201 Ha/atom